DFT (PBE) results for a relaxed structure of Nd2DyI.

a = 3.833 Å, b = 3.833 Å, c = 10.947 Å
α = 79.92°, β = 79.92°, γ = 60.00°
Fractional coordinates of all 4 atoms:
Nd 0.079 0.079 0.762
Nd 0.254 0.254 0.238
Dy 0.500 0.500 0.501
I 0.667 0.667 0.000

Results
Excess energy over the best structure of this formula in the dataset, meV/atom: 0
SG: R3m, No. 160
Theoretical density, g cm⁻³: 7.0
Formation energy without anion corrections, eV per atom: -0.389

***

DFT (PBE) results for a relaxed structure of NdDyI.

a = 3.879 Å, b = 3.879 Å, c = 7.727 Å
α = 90.00°, β = 90.00°, γ = 120.00°
Fractional coordinates of all 3 atoms:
I 0.667 0.333 0.340
Nd 0.000 0.000 0.006
Dy 0.333 0.667 0.654

Results
Excess energy over the best structure of this formula in the dataset, meV/atom: 0
SG: P3m1, No. 156
Theoretical density, g cm⁻³: 7.2
Formation energy without anion corrections, eV per atom: -0.535

***

Number 1: total magnetic moment 0.22 μB/f.u.. Number 2: total magnetic moment 0.38 μB/f.u..